i) A geometry-optimized CuReSiNi structure. Source: OQMD via LeMat-Bulk, functional GGA-PBE.

```
4
Lattice="-3.6350 0.3351 1.9322 -3.4067 0.9067 -2.1519 -2.9118 -2.8742 -0.5650" Properties=species:S:1:pos:R:3 pbc="T T T"
Si 0.0000 0.0000 0.0000
Re -2.4884 -0.4081 -0.1962
Ni -4.9767 -0.8162 -0.3924
Cu -7.4651 -1.2242 -0.5886
```

Size of the total moment   0.0230 μB/atom

---

ii) A geometry-optimized CuReSiNi structure. Source: OQMD via LeMat-Bulk, functional GGA-PBE.

```
4
Lattice="-3.1156 -1.0007 2.5159 -2.5029 2.9414 1.4565 -3.8960 0.2451 -1.3412" Properties=species:S:1:pos:R:3 pbc="T T T"
Ni -2.3786 0.5464 0.6578
Re -4.7573 1.0929 1.3156
Cu -7.1359 1.6393 1.9734
Si 0.0000 0.0000 0.0000
```

Size of the total moment   0.0011 μB/atom

---

Which is less stable than every other structure shown? ii) is.